(1)
Tm4NpSb5 | PBE | relaxed

abc: 11.5186 11.5186 11.5186
angles: 158.25 149.02 38.17
Sites, in units of the cell vectors:
1 Tm 0.1008 0.1008 0.0000
2 Tm 0.2981 0.2981 0.0000
3 Tm 0.7019 0.7019 0.0000
4 Tm 0.8992 0.8992 0.0000
5 Np 0.5000 0.5000 0.0000
6 Sb 0.0000 0.5000 0.5000
7 Sb 0.1998 0.6998 0.5000
8 Sb 0.3984 0.8984 0.5000
9 Sb 0.6016 0.1016 0.5000
10 Sb 0.8002 0.3002 0.5000

Values from the calculation:
Theoretical density ... 8.7 Mg/m³
DFT total energy ... -60.3 eV/cell
Space group ... Immm (71)

---

(2)
ErZr5Ir6 | PBE | relaxed

abc: 7.9405 7.9405 4.6768
angles: 102.34 102.34 50.25
Sites, in units of the cell vectors:
1 Er 0.0000 0.0000 0.0000
2 Zr 0.1660 0.1660 0.6660
3 Zr 0.3333 0.3333 0.3258
4 Zr 0.5000 0.5000 0.0000
5 Zr 0.6667 0.6667 0.6742
6 Zr 0.8340 0.8340 0.3340
7 Ir 0.0836 0.5733 0.8222
8 Ir 0.2599 0.7401 0.5000
9 Ir 0.4267 0.9164 0.1778
10 Ir 0.5733 0.0836 0.8222
11 Ir 0.7401 0.2599 0.5000
12 Ir 0.9164 0.4267 0.1778

Values from the calculation:
Theoretical density ... 13.4 Mg/m³
DFT total energy ... -110.0 eV/cell
Space group ... C2/m (12)
Energy of formation ... -0.80 eV/atom

---

(3)
TbHg2 | PBE | relaxed

abc: 4.9745 4.9745 3.4305
angles: 90.00 90.00 120.00
Sites, in units of the cell vectors:
1 Tb 0.0000 0.0000 0.0000
2 Hg 0.3333 0.6667 0.5000
3 Hg 0.6667 0.3333 0.5000

Values from the calculation:
Theoretical density ... 12.7 Mg/m³
DFT total energy ... -6.4 eV/cell
Space group ... P6/mmm (191)
Energy of formation ... -0.39 eV/atom

---

(4)
CaSc2Os | PBE | relaxed

abc: 3.2661 3.2648 9.0709
angles: 90.00 90.10 90.00
Sites, in units of the cell vectors:
1 Ca 0.0000 0.0000 0.0000
2 Sc 0.4991 0.5000 0.3314
3 Sc 0.5009 0.5000 0.6686
4 Os 0.0000 0.0000 0.5000

Values from the calculation:
Theoretical density ... 5.5 Mg/m³
DFT total energy ... -26.8 eV/cell
ΔE to the lowest computed polymorph ... 0 meV/atom
Space group ... P2/m (10)
Energy of formation ... -0.22 eV/atom

---

- Number 3 is which compound?
  TbHg2